(1)
The following is a DFT calculation (SCAN) of a crystal of Tc2HgRu relaxed with PBEsol.

extended XYZ file:
```
4
Lattice="1.380 0.797 9.165 -1.380 0.797 9.165 0.000 -1.594 9.165" Properties=species:S:1:pos:R:3 pbc="T T T"
Tc 0.000 0.000 6.685
Tc 0.000 0.000 20.810
Hg 0.000 0.000 0.000
Ru 0.000 0.000 13.747
```

Computed properties:
DFT formation energy in eV per formula unit: 1.44
Symmetry: No. 166
Calculated volume in Å³ per cell: 60.5
Crystal system: trigonal



(2)
The following is a DFT calculation (SCAN) of a crystal of TaTc2Ag relaxed with PBEsol.

extended XYZ file:
```
4
Lattice="3.216 0.000 0.000 0.000 3.216 0.000 0.000 0.000 6.021" Properties=species:S:1:pos:R:3 pbc="T T T"
Ta 0.000 0.000 0.000
Tc 1.608 1.608 1.409
Tc 1.608 1.608 4.612
Ag 0.000 0.000 3.010
```

Computed properties:
DFT formation energy in eV per formula unit: 0.89
Symmetry: No. 123
Calculated volume in Å³ per cell: 62.3
Crystal system: tetragonal
Energy relative to the lowest polymorph listed for this composition in meV/atom: 22



(3)
The following is a DFT calculation (SCAN) of a crystal of TaZnAu relaxed with PBEsol.

extended XYZ file:
```
3
Lattice="0.000 3.018 3.018 3.018 0.000 3.018 3.018 3.018 0.000" Properties=species:S:1:pos:R:3 pbc="T T T"
Ta 0.000 0.000 0.000
Zn 3.018 3.018 3.018
Au 1.509 1.509 1.509
```

Computed properties:
DFT formation energy in eV per formula unit: -0.20
Symmetry: No. 216
Calculated volume in Å³ per cell: 55.0
Crystal system: cubic



(4)
The following is a DFT calculation (SCAN) of a crystal of YZrTa3 relaxed with PBEsol.

extended XYZ file:
```
5
Lattice="4.831 0.000 0.000 0.000 4.831 0.000 0.000 0.000 4.831" Properties=species:S:1:pos:R:3 pbc="T T T"
Y 0.000 0.000 0.000
Zr 2.415 2.415 2.415
Ta 0.000 0.000 2.415
Ta 0.000 2.415 0.000
Ta 2.415 0.000 0.000
```

Computed properties:
DFT formation energy in eV per formula unit: 10.44
Symmetry: No. 221
Calculated volume in Å³ per cell: 112.7
Crystal system: cubic
Energy relative to the lowest polymorph listed for this composition in meV/atom: 643



(5)
The following is a DFT calculation (SCAN) of a crystal of As3HF relaxed with PBEsol.

extended XYZ file:
```
5
Lattice="4.469 0.000 0.000 0.000 4.469 0.000 0.000 0.000 4.469" Properties=species:S:1:pos:R:3 pbc="T T T"
As 0.000 0.000 2.235
As 0.000 2.235 0.000
As 2.235 0.000 0.000
H 2.235 2.235 2.235
F 0.000 0.000 0.000
```

Computed properties:
Symmetry: No. 221
Calculated total energy in eV/atom: -12.52
Calculated volume in Å³ per cell: 89.3
Crystal system: cubic



(6)
The following is a DFT calculation (SCAN) of a crystal of BaCdCu2 relaxed with PBEsol.

extended XYZ file:
```
4
Lattice="3.521 0.000 0.000 0.000 3.521 0.000 0.000 0.000 6.941" Properties=species:S:1:pos:R:3 pbc="T T T"
Ba 0.000 0.000 0.000
Cd 0.000 0.000 3.470
Cu 1.760 1.760 2.258
Cu 1.760 1.760 4.683
```

Computed properties:
DFT formation energy in eV per formula unit: 0.57
Symmetry: No. 123
Calculated volume in Å³ per cell: 86.0
Crystal system: tetragonal